The following is a SCAN calculation of a crystal of CdFe2Br relaxed with PBEsol, from Alexandria.

**Final energy**: -20.94 eV/atom
**Fermi-level density of states**: 2.86 states/eV/f.u.
**Formation energy (no corrections)**: 0.593 eV per atom

Unit cell a=2.964 b=5.255 c=8.723 alpha=90.00 beta=90.00 gamma=90.00
Space group Immm (No. 71)
One atom of each set of equivalent atoms:
Cd 0.000 0.000 0.000
Fe 0.000 0.500 0.235
Br 0.000 0.000 0.500

***

The following is a SCAN calculation of a crystal of Cd2FeBr relaxed with PBEsol, from Alexandria.

**Final energy**: -24.23 eV/atom
**Fermi-level density of states**: 0.26 states/eV/f.u.
**Formation energy (no corrections)**: 0.373 eV per atom
**Energy above the most stable polymorph in this dataset**: 119 meV per atom

Unit cell a=4.116 b=4.116 c=9.443 alpha=90.00 beta=90.00 gamma=90.00
Space group I-4m2 (No. 119)
One atom of each set of equivalent atoms:
Cd 0.000 0.000 0.000
Cd 0.000 0.500 0.250
Fe 0.000 0.000 0.500
Br 0.000 0.500 0.750

***

The following is a SCAN calculation of a crystal of NaCd2FeBr relaxed with PBEsol, from Alexandria.

**Final energy**: -19.73 eV/atom
**Fermi-level density of states**: 2.39 states/eV/f.u.
**Formation energy (no corrections)**: 0.793 eV per atom

Unit cell a=5.357 b=5.357 c=5.059 alpha=90.00 beta=90.00 gamma=90.00
Space group P4/mmm (No. 123)
One atom of each set of equivalent atoms:
Na 0.000 0.000 0.000
Cd 0.000 0.500 0.000
Fe 0.000 0.000 0.500
Br 0.500 0.500 0.500

***

The following is a SCAN calculation of a crystal of CdFePt2Br relaxed with PBEsol, from Alexandria.

**Final energy**: -40.27 eV/atom
**Fermi-level density of states**: 2.23 states/eV/f.u.
**Formation energy (no corrections)**: 1.406 eV per atom

Unit cell a=4.950 b=4.950 c=5.021 alpha=90.00 beta=90.00 gamma=90.00
Space group P4/mmm (No. 123)
One atom of each set of equivalent atoms:
Cd 0.000 0.000 0.000
Fe 0.500 0.500 0.500
Pt 0.000 0.500 0.000
Br 0.000 0.000 0.500

***

The following is a SCAN calculation of a crystal of Cd2GaBr relaxed with PBEsol, from Alexandria.

**Final energy**: -24.00 eV/atom
**Fermi-level density of states**: 0.87 states/eV/f.u.
**Formation energy (no corrections)**: 0.154 eV per atom

Unit cell a=7.297 b=7.297 c=7.297 alpha=90.00 beta=90.00 gamma=90.00
Space group Fm-3m (No. 225)
One atom of each set of equivalent atoms:
Cd 0.250 0.250 0.250
Ga 0.000 0.000 0.000
Br 0.000 0.000 0.500

***

The following is a SCAN calculation of a crystal of ZrCdGa2Br relaxed with PBEsol, from Alexandria.

**Final energy**: -21.75 eV/atom
**Fermi-level density of states**: 3.03 states/eV/f.u.
**Formation energy (no corrections)**: 0.900 eV per atom

Unit cell a=5.033 b=5.033 c=5.047 alpha=90.00 beta=90.00 gamma=90.00
Space group P4/mmm (No. 123)
One atom of each set of equivalent atoms:
Zr 0.000 0.000 0.000
Cd 0.500 0.500 0.000
Ga 0.000 0.500 0.500
Br 0.500 0.500 0.500